Record 1
This record from the Alexandria database describes Tb2TmSc after structural relaxation. The functional is PBE-GGA.

a b c (Å): 3.3643 3.3645 11.1453
angles (deg): 98.68 98.67 90.00
Positions (direct):
Tb 0.0888 0.5886 0.1771
Tb 0.3271 0.8272 0.6543
Tm 0.7058 0.2058 0.4116
Sc 0.9367 0.4369 0.8739

Calculated values
formation energy: 202 meV per atom
Fermi-level density of states: 7.08 states/eV/cell
VASP energy: -4.813 eV/atom



Record 2
This record from the Alexandria database describes KZrTa2 after structural relaxation. The functional is PBE-GGA.

a b c (Å): 5.0135 5.0135 5.0135
angles (deg): 60.00 60.00 60.00
Positions (direct):
K 0.0000 0.0000 0.0000
Zr 0.5000 0.5000 0.5000
Ta 0.2500 0.2500 0.2500
Ta 0.7500 0.7500 0.7500

Calculated values
formation energy: 1505 meV per atom
Fermi-level density of states: 5.41 states/eV/cell
VASP energy: -6.833 eV/atom



Record 3
This record from the Alexandria database describes K2TlAgSe after structural relaxation. The functional is PBE-GGA.

a b c (Å): 5.9431 5.9431 5.3620
angles (deg): 90.00 90.00 90.00
Positions (direct):
K 0.0000 0.5000 0.0000
K 0.5000 0.0000 0.0000
Tl 0.0000 0.0000 0.5000
Se 0.5000 0.5000 0.5000
Ag 0.0000 0.0000 0.0000

Calculated values
raw formation energy: -0.138 eV/atom
Fermi-level density of states: 1.34 states/eV/cell
VASP energy: -2.317 eV/atom



Record 4
This record from the Alexandria database describes Ac2TmSn after structural relaxation. The functional is PBE-GGA.

a b c (Å): 5.0920 5.1846 5.1846
angles (deg): 90.00 90.00 90.00
Positions (direct):
Ac 0.0000 0.0000 0.5000
Ac 0.0000 0.5000 0.0000
Tm 0.5000 0.5000 0.5000
Sn 0.5000 0.0000 0.0000

Calculated values
formation energy: -298 meV per atom
Fermi-level density of states: 5.00 states/eV/cell
VASP energy: -4.471 eV/atom